DFT (PBE) results for Ba2ZnCd3Au4 after structural relaxation.

abc: 5.055 5.055 10.364
angles: 90.00 90.00 90.00
Atoms (fractional coordinates):
Au (0.000, 0.000, 0.000)
Au (0.000, 0.500, 0.393)
Cd (0.500, 0.000, 0.875)
Cd (0.000, 0.000, 0.500)
Au (0.500, 0.500, 0.000)
Cd (0.000, 0.500, 0.125)
Ba (0.000, 0.500, 0.757)
Zn (0.500, 0.500, 0.500)
Au (0.500, 0.000, 0.607)
Ba (0.500, 0.000, 0.243)

Total magnetic moment: 0.000 μB per formula unit
DOS(E_F): 0.4011 states/eV/atom
Space group: P-4m2 (115)
ΔE_f: -0.46 eV per atom
Electronic total energy: -2.5620 eV per atom